Compound: BaGa2GeAu4
Source: the Alexandria database
Functional: PBE
Structure: optimized geometry

## Properties
- energy relative to the elements (eV per atom) = -0.2945
- final energy (eV/cell) = -28.06
- calculated volume (Å³ per atom) = 22.306

Unit cell a=4.4801 b=4.4801 c=10.5869 alpha=77.78 beta=77.78 gamma=60.00
Element x y z (fractional)
Ga 0.2478 0.2478 0.2567
Ga 0.7522 0.7522 0.7433
Ba 0.0000 0.0000 0.0000
Au 0.4069 0.4069 0.7792
Au 0.1311 0.1311 0.6067
Au 0.5931 0.5931 0.2208
Au 0.8689 0.8689 0.3933
Ge 0.5000 0.5000 0.5000